[1]
La2MgRh after structural relaxation, computed with GGA-PBE.

Structure (POSCAR):
```
La2MgRh
1.0
3.592 0.000 0.000
0.000 5.049 0.000
0.000 0.000 11.901
La Mg Rh
4 2 2
Direct
0.000 0.000 0.000
0.000 0.500 0.194
0.500 0.000 0.694
0.500 0.500 0.500
0.000 0.500 0.813
0.500 0.000 0.313
0.000 0.000 0.492
0.500 0.500 0.992
```

Output
E_tot = -5.040 eV per atom
DOS(E_F) = 3.51 states/eV/f.u.
ΔH_f (0 K) = -0.340 eV per atom
SG = Imm2



[2]
LaMg2Rh after structural relaxation, computed with GGA-PBE.

Structure (POSCAR):
```
LaMg2Rh
1.0
7.017 0.000 0.000
0.000 7.017 0.000
0.000 0.000 7.017
La Mg Rh
4 8 4
Direct
0.000 0.000 0.000
0.000 0.500 0.500
0.500 0.000 0.500
0.500 0.500 0.000
0.250 0.250 0.250
0.250 0.250 0.750
0.250 0.750 0.250
0.250 0.750 0.750
0.750 0.250 0.250
0.750 0.250 0.750
0.750 0.750 0.250
0.750 0.750 0.750
0.000 0.000 0.500
0.000 0.500 0.000
0.500 0.000 0.000
0.500 0.500 0.500
```

Output
E_tot = -3.996 eV per atom
DOS(E_F) = 4.79 states/eV/f.u.
ΔH_f (0 K) = -0.129 eV per atom
SG = Fm-3m



[3]
LaMg2Rh after structural relaxation, computed with GGA-PBE.

Structure (POSCAR):
```
LaMg2Rh
1.0
5.007 0.000 0.000
0.000 5.007 0.000
0.000 0.000 7.109
La Mg Rh
2 4 2
Direct
0.000 0.000 0.000
0.500 0.500 0.500
0.000 0.000 0.500
0.000 0.500 0.750
0.500 0.000 0.250
0.500 0.500 0.000
0.000 0.500 0.250
0.500 0.000 0.750
```

Output
E_tot = -4.120 eV per atom
DOS(E_F) = 3.86 states/eV/f.u.
ΔH_f (0 K) = -0.253 eV per atom
SG = I-4m2



[4]
La2MgRh after structural relaxation, computed with GGA-PBE.

Structure (POSCAR):
```
La2MgRh
1.0
7.065 0.000 0.000
0.000 4.084 0.000
-2.364 0.000 8.775
La Mg Rh
4 2 2
Direct
0.228 0.000 0.186
0.272 0.500 0.814
0.728 0.500 0.186
0.772 0.000 0.814
0.000 0.000 0.500
0.500 0.500 0.500
0.000 0.500 0.000
0.500 0.000 0.000
```

Output
E_tot = -5.081 eV per atom
DOS(E_F) = 3.08 states/eV/f.u.
ΔH_f (0 K) = -0.381 eV per atom
SG = C2/m



What is the DOS(E_F) in the second record?
4.79 states/eV/f.u.



Which of these has the highest DOS(E_F)?
number 2